Record 1
DFT (PBE-GGA) results for a relaxed La2MoI crystal.

## Properties
ΔE to the lowest computed polymorph	142	meV/atom
formation energy from raw total energies	0.22	eV per atom
E_tot	-5.3397	eV per atom

Cell: 5.424 5.424 5.424 Å, 60.00 60.00 60.00°
Sites, in units of the cell vectors:
Mo1 0.000 0.000 0.000
La1 0.250 0.250 0.250
I1 0.500 0.500 0.500
La2 0.750 0.750 0.750


Record 2
DFT (PBE-GGA) results for a relaxed LaMo3I crystal.

## Properties
ΔE to the lowest computed polymorph	929	meV/atom
formation energy from raw total energies	2.43	eV per atom
E_tot	-5.3648	eV per atom

Cell: 4.926 4.926 4.926 Å, 90.00 90.00 90.00°
Sites, in units of the cell vectors:
I1 0.500 0.500 0.500
La1 0.000 0.000 0.000
Mo1 0.000 0.000 0.500
Mo2 0.000 0.500 0.000
Mo3 0.500 0.000 0.000


Record 3
DFT (PBE-GGA) results for a relaxed LaMo2I crystal.

## Properties
ΔE to the lowest computed polymorph	0	meV/atom
formation energy from raw total energies	0.81	eV per atom
E_tot	-6.2249	eV per atom

Cell: 4.241 4.241 11.431 Å, 79.31 79.31 90.00°
Sites, in units of the cell vectors:
Mo1 0.058 0.625 0.250
I1 0.500 0.500 0.000
La1 0.750 0.250 0.500
I2 0.250 0.750 0.500
Mo2 0.375 0.308 0.750
La2 0.000 0.000 0.000
Mo3 0.692 0.125 0.250
Mo4 0.875 0.942 0.750